## Pm7SmRh4 (PBE-GGA)

Data for a relaxed structure of Pm7SmRh4.

Lattice parameters (Å, degrees): 7.4470 7.4470 10.0302 122.45 122.45 44.47
Last column: nearest neighbours and their distance in Å.
Sites, in units of the cell vectors:
Pm (0.0000, 0.0000, 0.0000)  4 Rh 2.81-2.82, 2 Sm 2.82
Pm (0.1713, 0.1713, 0.6223)  1 Rh 2.71
Pm (0.2877, 0.2877, 0.1240)  4 Rh 2.97-3.26, 1 Pm 3.33
Pm (0.4170, 0.4170, 0.6149)  1 Rh 2.70
Pm (0.5830, 0.5830, 0.3851)  1 Rh 2.70
Pm (0.7123, 0.7123, 0.8760)  4 Rh 2.97-3.26, 1 Pm 3.33
Pm (0.8287, 0.8287, 0.3777)  1 Rh 2.71
Sm (0.5000, 0.5000, 0.0000)  2 Pm 2.82
Rh (0.0675, 0.0675, 0.7839)  3 Pm 2.71-2.97
Rh (0.1974, 0.1974, 0.3310)  3 Pm 2.70-2.97
Rh (0.8026, 0.8026, 0.6690)  3 Pm 2.70-2.97
Rh (0.9325, 0.9325, 0.2161)  3 Pm 2.71-2.97

- formation energy (meV/atom) = -291.9
- DOS(E_F) (states/eV per cell) = 9.843
- volume (Å³/atom) = 26.46
- space-group type = C2/m